Entry 1:
RbLi2: relaxed, PBE.

POSCAR file:
```
RbLi2
1.0
-3.815 1.230 1.026
-1.556 -2.216 -3.129
2.050 -4.967 5.234
Li Rb
2 1
direct
0.718 0.718 0.435 Li
0.282 0.282 0.565 Li
0.000 0.000 0.000 Rb
```

Computed properties:
**Offset from the most stable computed form**: 0.025 eV/atom
**Magnetic moment**: 0.000 μB/atom
**ΔE_f**: 0.159 eV per atom


Entry 2:
RbLi3: relaxed, PBE.

POSCAR file:
```
RbLi3
1.0
3.538 0.000 0.000
0.000 5.095 0.000
0.000 0.000 7.920
Li Rb
3 1
direct
0.000 0.000 0.926 Li
0.500 0.000 0.624 Li
0.500 0.500 0.818 Li
0.000 0.500 0.298 Rb
```

Computed properties:
**Magnetic moment**: 0.000 μB/atom
**ΔE_f**: 0.181 eV per atom


Repeat the second record exactly.
RbLi3: relaxed, PBE.

POSCAR file:
```
RbLi3
1.0
3.538 0.000 0.000
0.000 5.095 0.000
0.000 0.000 7.920
Li Rb
3 1
direct
0.000 0.000 0.926 Li
0.500 0.000 0.624 Li
0.500 0.500 0.818 Li
0.000 0.500 0.298 Rb
```

Computed properties:
**Magnetic moment**: 0.000 μB/atom
**ΔE_f**: 0.181 eV per atom